Record 1
A plane-wave DFT calculation with PBE was carried out for La2MgInN after structural relaxation.

Formation energy from raw total energies = -0.740 eV per atom
Density of states at the Fermi level = 1.78 states/eV per cell
Energy = -5.243 eV/atom

a b c (Å): 5.155 5.155 4.536
angles (deg): 90.00 90.00 90.00
Positions (direct):
N (0.000, 0.000, 0.000)
La (0.500, 0.000, 0.000)
La (0.000, 0.500, 0.000)
In (0.500, 0.500, 0.500)
Mg (0.000, 0.000, 0.500)

Record 2
A plane-wave DFT calculation with PBE was carried out for NdMgTl2 after structural relaxation.

Formation enthalpy at 0 K = -0.25 eV/atom
Density of states at the Fermi level = 1.63 states/eV per cell
Energy = -3.025 eV/atom

a b c (Å): 4.870 4.870 6.084
angles (deg): 66.40 66.40 60.00
Positions (direct):
Mg (0.500, 0.500, 0.500)
Tl (0.769, 0.769, 0.693)
Tl (0.231, 0.231, 0.307)
Nd (0.000, 0.000, 0.000)

Record 3
A plane-wave DFT calculation with PBE was carried out for SrNi3Ru after structural relaxation.

Formation enthalpy at 0 K = 2.15 eV/atom
Density of states at the Fermi level = 8.22 states/eV per cell
Energy = -3.513 eV/atom

a b c (Å): 4.609 4.609 4.609
angles (deg): 90.00 90.00 90.00
Site moments in Bohr magnetons follow the coordinates.
Positions (direct):
Ni (0.000, 0.500, 0.000)  0.23
Ni (0.000, 0.000, 0.500)  0.18
Ni (0.500, 0.000, 0.000)  0.48
Sr (0.000, 0.000, 0.000)  -0.05
Ru (0.500, 0.500, 0.500)  2.15

Record 4
A plane-wave DFT calculation with PBE was carried out for Ba3Nd after structural relaxation.

Formation enthalpy at 0 K = 0.18 eV/atom
Density of states at the Fermi level = 12.22 states/eV per cell
Energy = -2.452 eV/atom

a b c (Å): 8.472 8.472 6.769
angles (deg): 90.00 90.00 120.00
Positions (direct):
Ba (0.828, 0.172, 0.750)
Ba (0.172, 0.344, 0.250)
Ba (0.656, 0.828, 0.250)
Ba (0.344, 0.172, 0.750)
Ba (0.828, 0.656, 0.750)
Ba (0.172, 0.828, 0.250)
Nd (0.667, 0.333, 0.250)
Nd (0.333, 0.667, 0.750)

Record 5
A plane-wave DFT calculation with PBE was carried out for ZnO after structural relaxation.

Formation energy from raw total energies = -1.297 eV per atom
Energy = -4.413 eV/atom

a b c (Å): 5.819 5.843 6.773
angles (deg): 90.00 90.00 90.00
Positions (direct):
Zn (0.653, 0.561, 0.228)
Zn (0.153, 0.939, 0.772)
Zn (0.670, 0.089, 0.971)
Zn (0.330, 0.589, 0.529)
Zn (0.170, 0.411, 0.029)
Zn (0.847, 0.439, 0.728)
Zn (0.347, 0.061, 0.272)
Zn (0.830, 0.911, 0.471)
O (0.339, 0.411, 0.280)
O (0.680, 0.601, 0.530)
O (0.320, 0.101, 0.970)
O (0.839, 0.089, 0.720)
O (0.661, 0.911, 0.220)
O (0.161, 0.589, 0.780)
O (0.180, 0.899, 0.470)
O (0.820, 0.399, 0.030)

Record 6
A plane-wave DFT calculation with PBE was carried out for Rb2NpGaSe5 after structural relaxation.

Formation energy from raw total energies = -0.969 eV per atom
Density of states at the Fermi level = 12.28 states/eV per cell
Energy = -4.894 eV/atom

a b c (Å): 4.145 10.269 14.759
angles (deg): 90.00 90.00 101.64
Site moments in Bohr magnetons follow the coordinates.
Positions (direct):
Se (0.507, 0.015, 0.789)  -0.04
Se (0.328, 0.656, 0.009)  -0.21
Se (0.057, 0.113, 0.025)  -0.08
Se (0.309, 0.619, 0.391)  -0.10
Se (0.698, 0.395, 0.148)  -0.15
Se (0.691, 0.381, 0.891)  -0.10
Se (0.943, 0.887, 0.525)  -0.08
Se (0.672, 0.344, 0.509)  -0.21
Se (0.493, 0.985, 0.289)  -0.04
Se (0.302, 0.605, 0.648)  -0.15
Np (0.199, 0.398, 0.024)  2.91
Np (0.801, 0.602, 0.524)  2.91
Rb (0.123, 0.246, 0.688)  0.00
Rb (0.126, 0.252, 0.327)  0.00
Rb (0.877, 0.754, 0.188)  0.00
Rb (0.874, 0.748, 0.827)  0.00
Ga (0.567, 0.135, 0.923)  0.00
Ga (0.433, 0.865, 0.423)  0.00

Record 7
A plane-wave DFT calculation with PBE was carried out for Bi2PdAu2 after structural relaxation.

Formation enthalpy at 0 K = 0.06 eV/atom
Density of states at the Fermi level = 3.99 states/eV per cell
Energy = -3.843 eV/atom

a b c (Å): 7.586 7.586 4.172
angles (deg): 90.00 90.00 90.00
Positions (direct):
Pd (0.000, 0.000, 0.000)
Pd (0.500, 0.500, 0.000)
Bi (0.673, 0.173, 0.000)
Bi (0.827, 0.673, 0.000)
Bi (0.327, 0.827, 0.000)
Bi (0.173, 0.327, 0.000)
Au (0.365, 0.135, 0.500)
Au (0.135, 0.635, 0.500)
Au (0.865, 0.365, 0.500)
Au (0.635, 0.865, 0.500)

Record 8
A plane-wave DFT calculation with PBE was carried out for U2Tl3Te6Rh after structural relaxation.

Formation energy from raw total energies = -0.403 eV per atom
Density of states at the Fermi level = 18.01 states/eV per cell
Energy = -5.059 eV/atom

a b c (Å): 7.279 7.279 8.806
angles (deg): 98.02 98.02 120.78
Site moments in Bohr magnetons follow the coordinates.
Positions (direct):
Rh (0.000, 0.000, 0.000)  0.27
Tl (0.185, 0.815, 0.500)  0.00
Tl (0.815, 0.185, 0.500)  0.00
Tl (0.500, 0.500, 0.500)  0.00
Te (0.632, 0.942, 0.803)  -0.05
Te (0.368, 0.058, 0.197)  -0.05
Te (0.942, 0.632, 0.803)  -0.05
Te (0.771, 0.771, 0.223)  -0.04
Te (0.229, 0.229, 0.777)  -0.04
Te (0.058, 0.368, 0.197)  -0.05
U (0.344, 0.656, 0.000)  2.45
U (0.656, 0.344, 0.000)  2.45

Record 9
A plane-wave DFT calculation with PBE was carried out for SrP2W after structural relaxation.

Formation enthalpy at 0 K = -0.12 eV/atom
Density of states at the Fermi level = 0.98 states/eV per cell
Energy = -6.486 eV/atom

a b c (Å): 5.644 5.644 5.644
angles (deg): 146.86 111.83 77.93
Positions (direct):
Sr (0.250, 0.750, 0.500)
P (0.953, 0.953, 0.000)
P (0.547, 0.547, 0.000)
W (0.750, 0.250, 0.500)

Record 10
A plane-wave DFT calculation with PBE was carried out for TlSeN2 after structural relaxation.

Formation energy from raw total energies = 1.990 eV per atom
Density of states at the Fermi level = 2.26 states/eV per cell
Energy = -3.636 eV/atom

a b c (Å): 4.271 4.271 4.271
angles (deg): 60.00 60.00 60.00
Positions (direct):
Se (0.000, 0.000, 0.000)
N (0.250, 0.250, 0.250)
N (0.750, 0.750, 0.750)
Tl (0.500, 0.500, 0.500)

Record 11
A plane-wave DFT calculation with PBE was carried out for BeNb2Ga after structural relaxation.

Formation enthalpy at 0 K = -0.14 eV/atom
Density of states at the Fermi level = 1.85 states/eV per cell
Energy = -6.864 eV/atom

a b c (Å): 3.862 3.981 3.981
angles (deg): 90.00 90.00 90.00
Positions (direct):
Be (0.500, 0.000, 0.000)
Nb (0.000, 0.000, 0.500)
Nb (0.000, 0.500, 0.000)
Ga (0.500, 0.500, 0.500)

Record 12
A plane-wave DFT calculation with PBE was carried out for CeDy2YTm5 after structural relaxation.

Formation enthalpy at 0 K = 0.32 eV/atom
Density of states at the Fermi level = 28.49 states/eV per cell
Energy = -4.564 eV/atom

a b c (Å): 8.637 8.637 9.715
angles (deg): 116.39 116.39 90.00
Site moments in Bohr magnetons follow the coordinates.
Positions (direct):
Ce (0.750, 0.750, 0.500)  0.86
Ce (0.250, 0.250, 0.500)  0.86
Tm (0.346, 0.846, 0.273)  0.04
Tm (0.000, 0.000, 0.000)  0.01
Tm (0.846, 0.927, 0.273)  0.04
Tm (0.927, 0.427, 0.273)  0.04
Tm (0.073, 0.573, 0.727)  0.04
Tm (0.654, 0.154, 0.727)  0.04
Tm (0.500, 0.500, 0.000)  0.01
Tm (0.154, 0.073, 0.727)  0.04
Tm (0.573, 0.654, 0.727)  0.04
Tm (0.427, 0.346, 0.273)  0.04
Dy (0.384, 0.884, 0.000)  -0.04
Dy (0.884, 0.616, 0.000)  -0.04
Dy (0.616, 0.116, 0.000)  -0.04
Dy (0.116, 0.384, 0.000)  -0.04
Y (0.750, 0.250, 0.500)  0.01
Y (0.250, 0.750, 0.500)  0.01